Cd3InAg after structural relaxation. Source: Alexandria, functional PBE.

Values from the calculation:
For the spin magnetization, the calculation gives 0.0 μB per formula unit. The energy above the most stable polymorph in this dataset comes out at 0.70 eV per formula unit. The value obtained for the total energy is -1.4329 eV/atom. For the formation energy, the calculation gives 0.23 eV per atom.

abc: 5.290 5.290 5.290
angles: 90.00 90.00 90.00
Sites, in units of the cell vectors:
Cd 0.000 0.000 0.500
Cd 0.000 0.500 0.000
Cd 0.500 0.000 0.000
In 0.500 0.500 0.500
Ag 0.000 0.000 0.000

---

La2ScAl after structural relaxation. Source: Alexandria, functional PBE.

Values from the calculation:
For the spin magnetization, the calculation gives 0.0 μB per formula unit. The value obtained for the total energy is -5.1372 eV/atom. For the formation energy, the calculation gives -0.15 eV per atom.

abc: 4.792 4.792 4.849
angles: 90.00 90.00 90.00
Sites, in units of the cell vectors:
La 0.000 0.500 0.000
La 0.500 0.000 0.000
Sc 0.000 0.000 0.500
Al 0.500 0.500 0.500

---

InPPt2 after structural relaxation. Source: Alexandria, functional PBE.

Values from the calculation:
For the spin magnetization, the calculation gives 0.0 μB per formula unit. The energy above the most stable polymorph in this dataset comes out at 2.03 eV per formula unit. The value obtained for the total energy is -4.8970 eV/atom. For the formation energy, the calculation gives 0.16 eV per atom.

abc: 4.594 4.594 4.594
angles: 60.00 60.00 60.00
Sites, in units of the cell vectors:
In 0.000 0.000 0.000
P 0.250 0.250 0.250
Pt 0.500 0.500 0.500
Pt 0.750 0.750 0.750

---

HfTaHg3 after structural relaxation. Source: Alexandria, functional PBE.

Values from the calculation:
For the spin magnetization, the calculation gives 0.0 μB per formula unit. The value obtained for the total energy is -2.8663 eV/atom. For the formation energy, the calculation gives 1.68 eV per atom.

abc: 5.266 5.266 5.266
angles: 90.00 90.00 90.00
Sites, in units of the cell vectors:
Hf 0.000 0.000 0.000
Ta 0.500 0.500 0.500
Hg 0.000 0.000 0.500
Hg 0.000 0.500 0.000
Hg 0.500 0.000 0.000

---

RbBiPb after structural relaxation. Source: Alexandria, functional PBE.

Values from the calculation:
For the spin magnetization, the calculation gives 0.0 μB per formula unit. The value obtained for the total energy is -3.1079 eV/atom. For the formation energy, the calculation gives -0.26 eV per atom.

abc: 5.308 7.090 7.594
angles: 75.99 69.64 68.18
Sites, in units of the cell vectors:
Rb 0.063 0.191 0.181
Rb 0.937 0.809 0.819
Bi 0.341 0.609 0.210
Bi 0.659 0.391 0.790
Pb 0.334 0.259 0.572
Pb 0.666 0.741 0.428

---

In2FeCo2 after structural relaxation. Source: Alexandria, functional PBE.

Values from the calculation:
For the spin magnetization, the calculation gives 4.3 μB per formula unit. The value obtained for the total energy is -5.4479 eV/atom. For the formation energy, the calculation gives 0.18 eV per atom.

abc: 6.194 6.194 4.048
angles: 90.00 90.00 90.00
Sites, in units of the cell vectors:
In 0.175 0.325 0.000
In 0.325 0.825 0.000
In 0.675 0.175 0.000
In 0.825 0.675 0.000
Fe 0.000 0.000 0.500
Fe 0.500 0.500 0.500
Co 0.133 0.633 0.500
Co 0.367 0.133 0.500
Co 0.633 0.867 0.500
Co 0.867 0.367 0.500

---

Sr2Cu2Se after structural relaxation. Source: Alexandria, functional PBE.

Values from the calculation:
Its formation energy from raw total energies is -0.457 eV/atom. For the spin magnetization, the calculation gives 0.0 μB per formula unit. The energy above the most stable polymorph in this dataset comes out at 0.00 eV per formula unit. The value obtained for the total energy is -3.4648 eV/atom.

abc: 7.853 7.853 4.084
angles: 90.00 90.00 90.00
Sites, in units of the cell vectors:
Sr 0.188 0.312 0.000
Sr 0.312 0.812 0.000
Sr 0.688 0.188 0.000
Sr 0.812 0.688 0.000
Cu 0.106 0.606 0.500
Cu 0.394 0.106 0.500
Cu 0.606 0.894 0.500
Cu 0.894 0.394 0.500
Se 0.000 0.000 0.500
Se 0.500 0.500 0.500

---

SrZr2Zn after structural relaxation. Source: Alexandria, functional PBE.

Values from the calculation:
For the spin magnetization, the calculation gives 0.0 μB per formula unit. The value obtained for the total energy is -4.8030 eV/atom. For the formation energy, the calculation gives 0.21 eV per atom.

abc: 3.402 3.402 9.036
angles: 90.00 90.00 90.00
Sites, in units of the cell vectors:
Sr 0.000 0.000 0.000
Zr 0.500 0.500 0.327
Zr 0.500 0.500 0.673
Zn 0.000 0.000 0.500

---

ScTl2Ag after structural relaxation. Source: Alexandria, functional PBE.

Values from the calculation:
For the spin magnetization, the calculation gives 0.0 μB per formula unit. The value obtained for the total energy is -3.4364 eV/atom. For the formation energy, the calculation gives 0.04 eV per atom.

abc: 3.348 3.348 9.647
angles: 90.00 90.00 117.01
Sites, in units of the cell vectors:
Sc 0.000 0.000 0.000
Tl 0.500 0.500 0.257
Tl 0.500 0.500 0.743
Ag 0.000 0.000 0.500

---

Pm4Mg5Al2 after structural relaxation. Source: Alexandria, functional PBE.

Values from the calculation:
For the spin magnetization, the calculation gives 0.0 μB per formula unit. The value obtained for the total energy is -3.2727 eV/atom. For the formation energy, the calculation gives -0.14 eV per atom.

abc: 8.117 3.562 10.339
angles: 90.00 94.38 90.00
Sites, in units of the cell vectors:
Pm 0.156 0.000 0.373
Pm 0.263 0.000 0.945
Pm 0.737 0.000 0.055
Pm 0.844 0.000 0.627
Mg 0.194 0.500 0.665
Mg 0.427 0.500 0.203
Mg 0.500 0.500 0.500
Mg 0.573 0.500 0.797
Mg 0.806 0.500 0.335
Al 0.054 0.500 0.128
Al 0.946 0.500 0.872

---

Ac4GeSbS2 after structural relaxation. Source: Alexandria, functional PBE.

Values from the calculation:
Its formation energy from raw total energies is -1.494 eV/atom. For the spin magnetization, the calculation gives 0.0 μB per formula unit. The value obtained for the total energy is -5.6725 eV/atom.

abc: 7.727 4.559 7.935
angles: 90.00 109.87 90.00
Sites, in units of the cell vectors:
Ac 0.241 0.000 0.237
Ac 0.247 0.500 0.757
Ac 0.753 0.500 0.243
Ac 0.759 0.000 0.763
Ge 0.500 0.000 0.000
Sb 0.500 0.500 0.500
S 0.000 0.000 0.500
S 0.000 0.500 0.000

---

Tb2Pm5Sb4 after structural relaxation. Source: Alexandria, functional PBE.

Values from the calculation:
Its formation energy from raw total energies is -0.486 eV/atom. For the spin magnetization, the calculation gives 0.1 μB per formula unit. The value obtained for the total energy is -4.9865 eV/atom.

abc: 13.128 13.128 7.206
angles: 90.85 90.85 17.84
Sites, in units of the cell vectors:
Tb 0.091 0.091 0.185
Tb 0.909 0.909 0.815
Pm 0.142 0.142 0.683
Pm 0.233 0.233 0.259
Pm 0.500 0.500 0.500
Pm 0.767 0.767 0.741
Pm 0.858 0.858 0.317
Sb 0.030 0.030 0.809
Sb 0.330 0.330 0.993
Sb 0.670 0.670 0.007
Sb 0.970 0.970 0.191

---

Ba3Ce2PrTe6 after structural relaxation. Source: Alexandria, functional PBE.

Values from the calculation:
Its formation energy from raw total energies is -1.547 eV/atom. For the spin magnetization, the calculation gives 2.8 μB per formula unit. The value obtained for the total energy is -4.9856 eV/atom.

abc: 8.114 8.114 8.378
angles: 99.29 99.29 119.96
Sites, in units of the cell vectors:
Ba 0.000 0.000 0.000
Ba 0.334 0.666 0.000
Ba 0.666 0.334 0.000
Ce 0.167 0.833 0.500
Ce 0.833 0.167 0.500
Pr 0.500 0.500 0.500
Te 0.090 0.425 0.274
Te 0.240 0.240 0.725
Te 0.425 0.090 0.274
Te 0.575 0.910 0.726
Te 0.760 0.760 0.275
Te 0.910 0.575 0.726

---

Sr2Li12InAg3 after structural relaxation. Source: Alexandria, functional PBE.

Values from the calculation:
For the spin magnetization, the calculation gives 0.0 μB per formula unit. The value obtained for the total energy is -2.1319 eV/atom. For the formation energy, the calculation gives -0.04 eV per atom.

abc: 7.393 7.393 7.393
angles: 85.15 85.15 85.15
Sites, in units of the cell vectors:
Sr 0.249 0.249 0.249
Sr 0.751 0.751 0.751
Li 0.082 0.082 0.651
Li 0.082 0.651 0.082
Li 0.225 0.689 0.689
Li 0.311 0.311 0.775
Li 0.311 0.775 0.311
Li 0.349 0.918 0.918
Li 0.651 0.082 0.082
Li 0.689 0.225 0.689
Li 0.689 0.689 0.225
Li 0.775 0.311 0.311
Li 0.918 0.349 0.918
Li 0.918 0.918 0.349
In 0.500 0.500 0.500
Ag 0.000 0.500 0.500
Ag 0.500 0.000 0.500
Ag 0.500 0.500 0.000

---

La2Sm5Tm3 after structural relaxation. Source: Alexandria, functional PBE.

Values from the calculation:
For the spin magnetization, the calculation gives 0.0 μB per formula unit. The value obtained for the total energy is -4.4978 eV/atom. For the formation energy, the calculation gives 0.19 eV per atom.

abc: 9.693 9.693 9.496
angles: 108.60 108.60 111.72
Sites, in units of the cell vectors:
La 0.017 0.267 0.049
La 0.267 0.017 0.549
La 0.733 0.983 0.451
La 0.983 0.733 0.951
Sm 0.156 0.386 0.782
Sm 0.231 0.769 0.750
Sm 0.272 0.728 0.250
Sm 0.386 0.156 0.282
Sm 0.468 0.532 0.250
Sm 0.532 0.468 0.750
Sm 0.614 0.844 0.718
Sm 0.728 0.272 0.750
Sm 0.769 0.231 0.250
Sm 0.844 0.614 0.218
Tm 0.025 0.975 0.750
Tm 0.222 0.461 0.455
Tm 0.461 0.222 0.955
Tm 0.539 0.778 0.045
Tm 0.778 0.539 0.545
Tm 0.975 0.025 0.250

---

Ca4CdInHg2 after structural relaxation. Source: Alexandria, functional PBE.

Values from the calculation:
For the spin magnetization, the calculation gives 0.0 μB per formula unit. The value obtained for the total energy is -2.0178 eV/atom. For the formation energy, the calculation gives -0.48 eV per atom.

abc: 9.395 9.395 9.395
angles: 33.37 33.37 33.37
Sites, in units of the cell vectors:
Ca 0.125 0.125 0.125
Ca 0.375 0.375 0.375
Ca 0.625 0.625 0.625
Ca 0.875 0.875 0.875
Cd 0.000 0.000 0.000
In 0.500 0.500 0.500
Hg 0.251 0.251 0.251
Hg 0.749 0.749 0.749